[1]
! GGA-PBE LiErFeC, optimized geometry; values from VASP
! Electronic total energy, eV/atom: -6.108
! D(E_F), states/eV per cell: 5.629
! Energy of formation, eV/atom: -0.0676
&SYSTEM
  ibrav = 0, nat = 8, ntyp = 4
/
ATOMIC_SPECIES
Li 6.94 Li.upf
Fe 55.84 Fe.upf
Er 167.26 Er.upf
C 12.01 C.upf
CELL_PARAMETERS angstrom
3.3957 0.0000 0.0000
0.0000 3.3957 0.0000
0.0000 0.0000 10.4494
ATOMIC_POSITIONS angstrom
Li 2.5468 0.8489 5.2247
Li 0.8489 2.5468 5.2247
Fe 2.5468 0.8489 0.0000
Fe 0.8489 2.5468 0.0000
Er 0.8489 0.8489 8.1650
Er 2.5468 2.5468 2.2844
C 0.8489 0.8489 1.0394
C 2.5468 2.5468 9.4099

[2]
! GGA-PBE ErMgFeC, optimized geometry; values from VASP
! Electronic total energy, eV/atom: -5.895
! D(E_F), states/eV per cell: 4.039
! Energy of formation, eV/atom: 0.0659
&SYSTEM
  ibrav = 0, nat = 8, ntyp = 4
/
ATOMIC_SPECIES
Fe 55.84 Fe.upf
Er 167.26 Er.upf
Mg 24.30 Mg.upf
C 12.01 C.upf
CELL_PARAMETERS angstrom
3.5849 0.0000 0.0000
0.0000 3.5849 0.0000
0.0000 0.0000 10.1658
ATOMIC_POSITIONS angstrom
Fe 0.8962 2.6887 0.0000
Fe 2.6887 0.8962 0.0000
Er 2.6887 2.6887 2.1367
Er 0.8962 0.8962 8.0292
Mg 2.6887 0.8962 5.0829
Mg 0.8962 2.6887 5.0829
C 0.8962 0.8962 0.8793
C 2.6887 2.6887 9.2865

[3]
! GGA-PBE Er2MgFeC, optimized geometry; values from VASP
! Electronic total energy, eV/atom: -5.898
! D(E_F), states/eV per cell: 2.974
! Energy of formation, eV/atom: -0.2164
&SYSTEM
  ibrav = 0, nat = 5, ntyp = 4
/
ATOMIC_SPECIES
Fe 55.84 Fe.upf
Mg 24.30 Mg.upf
C 12.01 C.upf
Er 167.26 Er.upf
CELL_PARAMETERS angstrom
-1.0522 2.8117 -2.1871
-1.4657 -3.2499 -3.4729
-4.5426 -0.1208 2.0301
ATOMIC_POSITIONS angstrom
Fe -0.5261 1.4059 -1.0936
Mg -3.5302 -0.2795 -1.8149
C 0.0000 0.0000 0.0000
Er -0.7328 -1.6250 -1.7364
Er -2.2713 -0.0604 1.0151